# 1
# PrEr2Mg3CdGa2, relaxed, DFT PBE-GGA
data_PrEr2Mg3CdGa2
_space_group_name_H-M_alt 'A m m 2'
_space_group_IT_number 38
_cell_length_a 4.515
_cell_length_b 12.935
_cell_length_c 7.320
_cell_angle_alpha 90.00
_cell_angle_beta 90.00
_cell_angle_gamma 90.00
loop_
_space_group_symop_operation_xyz
'x,y,z'
'-x,-y,z'
'-x,y,z'
'x,-y,z'
'x,y+1/2,z+1/2'
'-x,-y+1/2,z+1/2'
'-x,y+1/2,z+1/2'
'x,-y+1/2,z+1/2'
loop_
_atom_site_label
_atom_site_type_symbol
_atom_site_fract_x
_atom_site_fract_y
_atom_site_fract_z
Pr1 Pr 0.000 0.000 0.000
Er1 Er 0.000 0.216 0.644
Mg1 Mg 0.500 0.000 0.680
Mg2 Mg 0.500 0.124 0.307
Cd1 Cd 0.000 0.000 0.442
Ga1 Ga 0.500 0.171 0.927
# raw total energy = -3.259 eV per atom
# M_tot = 0.00 Bohr magnetons per cell
# calculated volume = 427.4 Å³ per cell

---

# 2
# PrPbAu, relaxed, DFT PBE-GGA
data_PrPbAu
_space_group_name_H-M_alt 'P 63/m m c'
_space_group_IT_number 194
_space_group_name_Hall '-P 6c 2c'
_cell_length_a 4.8740
_cell_length_b 4.8740
_cell_length_c 7.8666
_cell_angle_alpha 90.00
_cell_angle_beta 90.00
_cell_angle_gamma 120.00
loop_
_atom_site_label
_atom_site_type_symbol
_atom_site_fract_x
_atom_site_fract_y
_atom_site_fract_z
Pr1 Pr 0.0000 0.0000 0.0000
Pb1 Pb 0.3333 0.6667 0.2500
Au1 Au 0.3333 0.6667 0.7500
# raw total energy = -4.500 eV per atom
# M_tot = 0.13 Bohr magnetons per cell
# calculated volume = 161.8 Å³ per cell

---

# 3
# ScHg2Ge, relaxed, DFT PBE-GGA
data_ScHg2Ge
_space_group_name_H-M_alt 'F -4 3 m'
_space_group_IT_number 216
_space_group_name_Hall 'F -4 2 3'
_cell_length_a 7.017
_cell_length_b 7.017
_cell_length_c 7.017
_cell_angle_alpha 90.00
_cell_angle_beta 90.00
_cell_angle_gamma 90.00
loop_
_atom_site_label
_atom_site_type_symbol
_atom_site_fract_x
_atom_site_fract_y
_atom_site_fract_z
Sc1 Sc 0.000 0.000 0.000
Hg1 Hg 0.000 0.000 0.500
Hg2 Hg 0.250 0.250 0.250
Ge1 Ge 0.250 0.250 0.750
# raw total energy = -2.962 eV per atom
# M_tot = 0.02 Bohr magnetons per cell
# calculated volume = 345.6 Å³ per cell

---

# 4
# KSmP3HO10, relaxed, DFT PBE-GGA
data_KSmP3HO10
_space_group_name_H-M_alt 'P -1'
_space_group_IT_number 2
_cell_length_a 6.913
_cell_length_b 7.601
_cell_length_c 8.485
_cell_angle_alpha 72.86
_cell_angle_beta 73.41
_cell_angle_gamma 82.45
loop_
_space_group_symop_operation_xyz
'x,y,z'
'-x,-y,-z'
loop_
_atom_site_label
_atom_site_type_symbol
_atom_site_fract_x
_atom_site_fract_y
_atom_site_fract_z
K1 K 0.201 0.206 0.033
Sm1 Sm 0.226 0.130 0.510
P1 P 0.144 0.531 0.647
P2 P 0.328 0.724 0.823
P3 P 0.330 0.803 0.341
H1 H 0.315 0.691 0.089
O1 O 0.044 0.346 0.330
O2 O 0.127 0.327 0.689
O3 O 0.134 0.927 0.368
O4 O 0.192 0.891 0.768
O5 O 0.253 0.632 0.019
O6 O 0.276 0.592 0.451
O7 O 0.287 0.556 0.756
O8 O 0.419 0.797 0.160
O9 O 0.447 0.249 0.235
O10 O 0.465 0.864 0.428
# raw total energy = -7.091 eV per atom
# M_tot = 0.01 Bohr magnetons per cell
# calculated volume = 407.8 Å³ per cell

---

# 5
# BeAg2Mo, relaxed, DFT PBE-GGA
data_BeAg2Mo
_space_group_name_H-M_alt 'F -4 3 m'
_space_group_IT_number 216
_space_group_name_Hall 'F -4 2 3'
_cell_length_a 6.211
_cell_length_b 6.211
_cell_length_c 6.211
_cell_angle_alpha 90.00
_cell_angle_beta 90.00
_cell_angle_gamma 90.00
loop_
_atom_site_label
_atom_site_type_symbol
_atom_site_fract_x
_atom_site_fract_y
_atom_site_fract_z
Be1 Be 0.000 0.000 0.000
Ag1 Ag 0.000 0.000 0.500
Ag2 Ag 0.250 0.250 0.750
Mo1 Mo 0.250 0.250 0.250
# raw total energy = -4.412 eV per atom
# M_tot = 6.11 Bohr magnetons per cell
# calculated volume = 239.6 Å³ per cell

---

# 6
# PaSe2I2, relaxed, DFT PBE-GGA
data_PaSe2I2
_space_group_name_H-M_alt 'C 1 2/m 1'
_space_group_IT_number 12
_cell_length_a 7.713
_cell_length_b 13.330
_cell_length_c 8.275
_cell_angle_alpha 90.00
_cell_angle_beta 111.96
_cell_angle_gamma 90.00
loop_
_space_group_symop_operation_xyz
'x,y,z'
'-x,-y,-z'
'-x,y,-z'
'x,-y,z'
'x+1/2,y+1/2,z'
'-x+1/2,-y+1/2,-z'
'-x+1/2,y+1/2,-z'
'x+1/2,-y+1/2,z'
loop_
_atom_site_label
_atom_site_type_symbol
_atom_site_fract_x
_atom_site_fract_y
_atom_site_fract_z
Pa1 Pa 0.000 0.138 0.000
Se1 Se 0.135 0.000 0.293
Se2 Se 0.186 0.500 0.886
I1 I 0.228 0.200 0.761
# raw total energy = -4.861 eV per atom
# M_tot = 3.99 Bohr magnetons per cell
# calculated volume = 789.0 Å³ per cell